Density functional theory data (PBE) for a geometry-optimized MgMn2ReW structure.

a b c (Å): 4.640 4.640 4.775
angles (deg): 90.00 90.00 90.00
Sites, in units of the cell vectors:
Mg 0.000 0.000 0.000
Mn 0.000 0.500 0.500
Mn 0.500 0.000 0.500
Re 0.500 0.500 0.000
W 0.500 0.500 0.500

- Formation enthalpy at 0 K: 1.387 eV per atom
- Uncorrected energy: -7.68 eV/atom
- DOS at the Fermi energy: 3.9 states/eV/cell
- Spin magnetization: 5.2 μB per formula unit